Record 1
This record from the Alexandria database describes an optimized crystal structure of Ca3Zn8Cu3. The functional is PBE.

## Properties
Final energy, eV per atom: -2.2467
Total magnetic moment, μB/f.u.: 0.0

Cell: 4.3202 8.1409 8.1409 Å, 70.19 74.61 74.61°
Element x y z (fractional)
Zn 0.8317 0.8133 0.5233
Zn 0.1683 0.4767 0.1867
Zn 0.8317 0.5233 0.8133
Zn 0.6187 0.0972 0.6654
Zn 0.6187 0.6654 0.0972
Zn 0.3813 0.9028 0.3346
Zn 0.3813 0.3346 0.9028
Zn 0.1683 0.1867 0.4767
Ca 0.8093 0.1907 0.1907
Ca 0.5000 0.5000 0.5000
Ca 0.1907 0.8093 0.8093
Cu 0.0000 0.7992 0.2008
Cu 0.0000 0.2008 0.7992
Cu 0.5000 0.0000 0.0000

Record 2
This record from the Alexandria database describes an optimized crystal structure of Ca2ZnCu. The functional is PBE.

## Properties
Final energy, eV per atom: -2.2003
Total magnetic moment, μB/f.u.: 0.0

Cell: 7.9330 7.9330 6.6021 Å, 53.07 53.07 90.00°
Element x y z (fractional)
Zn 0.0000 0.0000 0.0000
Zn 0.7500 0.2500 0.5000
Cu 0.5000 0.5000 0.0000
Cu 0.2500 0.7500 0.5000
Ca 0.8750 0.8564 0.7500
Ca 0.6064 0.1250 0.2500
Ca 0.3750 0.3936 0.7500
Ca 0.1436 0.6250 0.2500

Record 3
This record from the Alexandria database describes an optimized crystal structure of Ca2ZnCu. The functional is PBE.

## Properties
Final energy, eV per atom: -2.3225
Total magnetic moment, μB/f.u.: 0.0

Cell: 5.9701 5.9701 5.9701 Å, 137.23 137.23 62.09°
Element x y z (fractional)
Ca 0.0000 0.0000 0.0000
Ca 0.2500 0.7500 0.5000
Cu 0.5000 0.5000 0.0000
Zn 0.7500 0.2500 0.5000

Record 4
This record from the Alexandria database describes an optimized crystal structure of Ca2ZnCu3. The functional is PBE.

## Properties
Final energy, eV per atom: -3.0782
Total magnetic moment, μB/f.u.: 0.0

Cell: 5.4419 5.4419 8.5722 Å, 90.00 90.00 120.00°
Element x y z (fractional)
Ca 0.6667 0.3333 0.4423
Ca 0.3333 0.6667 0.5577
Ca 0.6667 0.3333 0.0577
Ca 0.3333 0.6667 0.9423
Cu 0.1649 0.3298 0.2500
Cu 0.1649 0.8351 0.2500
Cu 0.8351 0.1649 0.7500
Cu 0.6702 0.8351 0.2500
Cu 0.3298 0.1649 0.7500
Cu 0.8351 0.6702 0.7500
Zn 0.0000 0.0000 0.5000
Zn 0.0000 0.0000 0.0000

Record 5
This record from the Alexandria database describes an optimized crystal structure of Ca2Zn2Cu. The functional is PBE.

## Properties
Final energy, eV per atom: -2.1593
Total magnetic moment, μB/f.u.: 0.0

Cell: 3.7017 3.7017 9.1352 Å, 78.31 78.31 90.00°
Element x y z (fractional)
Ca 0.4011 0.4011 0.1977
Ca 0.5989 0.5989 0.8023
Zn 0.2500 0.7500 0.5000
Zn 0.7500 0.2500 0.5000
Cu 0.0000 0.0000 0.0000

Record 6
This record from the Alexandria database describes an optimized crystal structure of Ca2Zn2Cu. The functional is PBE.

## Properties
Final energy, eV per atom: -2.3539
Total magnetic moment, μB/f.u.: 0.0

Cell: 4.4374 5.3235 5.8688 Å, 116.97 112.21 90.00°
Element x y z (fractional)
Zn 0.5000 0.7525 0.0000
Zn 0.5000 0.2475 0.0000
Ca 0.1915 0.6915 0.3829
Ca 0.8085 0.3085 0.6171
Cu 0.0000 0.0000 0.0000

Record 7
This record from the Alexandria database describes an optimized crystal structure of Ca3Zn4Cu4. The functional is PBE.

## Properties
Final energy, eV per atom: -2.6844
Total magnetic moment, μB/f.u.: 0.0

Cell: 4.1778 4.0782 13.1357 Å, 81.16 80.76 90.02°
Element x y z (fractional)
Zn 0.0973 0.6003 0.8039
Zn 0.7490 0.7491 0.5009
Zn 0.2510 0.2509 0.4991
Zn 0.9027 0.3997 0.1961
Ca 0.3521 0.8498 0.2970
Ca 0.6479 0.1502 0.7030
Ca 0.0000 0.0000 0.0000
Cu 0.1930 0.6948 0.6125
Cu 0.4536 0.4500 0.0954
Cu 0.8070 0.3053 0.3875
Cu 0.5464 0.5501 0.9046

Record 8
This record from the Alexandria database describes an optimized crystal structure of CaZn6Cu. The functional is PBE.

## Properties
Final energy, eV per atom: -1.8275
Total magnetic moment, μB/f.u.: 0.0

Cell: 4.1111 4.1111 8.5458 Å, 90.00 90.00 90.00°
Element x y z (fractional)
Cu 0.0000 0.0000 0.5000
Zn 0.5000 0.0000 0.6670
Zn 0.5000 0.5000 0.8541
Zn 0.0000 0.5000 0.3330
Zn 0.0000 0.5000 0.6670
Zn 0.5000 0.0000 0.3330
Zn 0.5000 0.5000 0.1459
Ca 0.0000 0.0000 0.0000

Record 9
This record from the Alexandria database describes an optimized crystal structure of CaZn5Cu7. The functional is PBE.

## Properties
Final energy, eV per atom: -2.9442
Total magnetic moment, μB/f.u.: 0.0

Cell: 4.9931 6.6191 6.6192 Å, 82.03 67.84 67.84°
Element x y z (fractional)
Cu 0.0015 0.3547 0.6423
Cu 0.5011 0.2242 0.7737
Cu 0.2775 0.2225 0.2225
Cu 0.5011 0.7737 0.2242
Cu 0.3546 0.6454 0.6454
Cu 0.6416 0.3584 0.3584
Cu 0.0015 0.6423 0.3547
Zn 0.0021 0.0022 0.4952
Zn 0.5006 0.4952 0.0022
Zn 0.5006 0.0022 0.4952
Zn 0.0021 0.4952 0.0022
Zn 0.7205 0.7795 0.7795
Ca 0.9954 0.0046 0.0046

Record 10
This record from the Alexandria database describes an optimized crystal structure of Ca3ZnCu. The functional is PBE.

## Properties
Final energy, eV per atom: -2.1786
Total magnetic moment, μB/f.u.: 0.0

Cell: 5.5087 5.5087 5.5087 Å, 90.00 90.00 90.00°
Element x y z (fractional)
Ca 0.0000 0.5000 0.0000
Ca 0.0000 0.0000 0.5000
Ca 0.5000 0.0000 0.0000
Cu 0.0000 0.0000 0.0000
Zn 0.5000 0.5000 0.5000

Record 11
This record from the Alexandria database describes an optimized crystal structure of Ca2Zn4Cu3. The functional is PBE.

## Properties
Final energy, eV per atom: -2.5521
Total magnetic moment, μB/f.u.: 0.0

Cell: 5.2703 5.2703 7.1387 Å, 100.26 100.26 121.15°
Element x y z (fractional)
Cu 0.0000 0.5000 0.0000
Cu 0.5000 0.0000 0.0000
Cu 0.0000 0.0000 0.0000
Ca 0.3675 0.3675 0.7351
Ca 0.6325 0.6325 0.2649
Zn 0.9926 0.3303 0.3229
Zn 0.0074 0.6697 0.6771
Zn 0.6697 0.0074 0.6771
Zn 0.3303 0.9926 0.3229

Record 12
This record from the Alexandria database describes an optimized crystal structure of Ca2Zn6Cu. The functional is PBE.

## Properties
Final energy, eV per atom: -1.9467
Total magnetic moment, μB/f.u.: 0.0

Cell: 5.7202 5.7107 5.9620 Å, 89.81 90.00 120.06°
Element x y z (fractional)
Cu 0.0000 0.0000 0.0000
Zn 0.6547 0.8267 0.3341
Zn 0.8281 0.6563 0.6680
Zn 0.1719 0.3437 0.3320
Zn 0.8280 0.1733 0.6659
Zn 0.1720 0.8267 0.3341
Zn 0.3453 0.1733 0.6659
Ca 0.3334 0.6667 0.8586
Ca 0.6666 0.3333 0.1414

Record 13
This record from the Alexandria database describes an optimized crystal structure of Ca3Zn4Cu4. The functional is PBE.

## Properties
Final energy, eV per atom: -2.6976
Total magnetic moment, μB/f.u.: 0.0

Cell: 6.5551 6.5551 6.5551 Å, 109.47 109.47 109.47°
Element x y z (fractional)
Zn 0.6018 0.0000 0.0000
Zn 0.3982 0.3982 0.3982
Zn 0.0000 0.6018 0.0000
Zn 0.0000 0.0000 0.6018
Cu 0.2386 0.0000 0.0000
Cu 0.0000 0.2386 0.0000
Cu 0.0000 0.0000 0.2386
Cu 0.7614 0.7614 0.7614
Ca 0.5000 0.5000 0.0000
Ca 0.0000 0.5000 0.5000
Ca 0.5000 0.0000 0.5000

Record 14
This record from the Alexandria database describes an optimized crystal structure of Ca2Zn2Cu. The functional is PBE.

## Properties
Final energy, eV per atom: -2.3603
Total magnetic moment, μB/f.u.: 0.0

Cell: 4.4029 5.7596 9.9400 Å, 86.82 77.20 67.53°
Element x y z (fractional)
Zn 0.0937 0.2544 0.5583
Zn 0.6220 0.8744 0.8816
Zn 0.9063 0.7456 0.4417
Zn 0.3780 0.1256 0.1184
Ca 0.0827 0.7184 0.1161
Ca 0.9173 0.2816 0.8839
Ca 0.6745 0.3143 0.3367
Ca 0.3255 0.6857 0.6633
Cu 0.6284 0.0924 0.6509
Cu 0.3716 0.9076 0.3491

Record 15
This record from the Alexandria database describes an optimized crystal structure of Ca2Zn4Cu5. The functional is PBE.

## Properties
Final energy, eV per atom: -2.7547
Total magnetic moment, μB/f.u.: 0.0

Cell: 5.0430 7.0908 6.5898 Å, 72.23 67.50 69.17°
Element x y z (fractional)
Zn 0.7687 0.5541 0.9085
Zn 0.2313 0.4459 0.0915
Zn 0.3757 0.0640 0.1846
Zn 0.6243 0.9360 0.8154
Cu 0.7171 0.2572 0.8162
Cu 0.2829 0.7428 0.1838
Cu 0.0000 0.5000 0.5000
Cu 0.7905 0.7428 0.1838
Cu 0.2095 0.2572 0.8162
Ca 0.3043 0.7534 0.6381
Ca 0.6957 0.2466 0.3619

Record 16
This record from the Alexandria database describes an optimized crystal structure of Ca2ZnCu. The functional is PBE.

## Properties
Final energy, eV per atom: -2.5368
Total magnetic moment, μB/f.u.: 0.0

Cell: 4.4061 4.1393 5.9254 Å, 69.31 90.00 90.00°
Element x y z (fractional)
Zn 0.5000 0.5634 0.7468
Ca 0.5000 0.2693 0.3370
Ca 0.0000 0.9814 0.9114
Cu 0.0000 0.6860 0.5049

Record 17
This record from the Alexandria database describes an optimized crystal structure of Ca3ZnCu2. The functional is PBE.

## Properties
Final energy, eV per atom: -2.7227
Total magnetic moment, μB/f.u.: 0.0

Cell: 4.3677 11.7913 11.7011 Å, 90.00 90.00 90.00°
Element x y z (fractional)
Zn 0.2500 0.3724 0.6285
Zn 0.2500 0.1276 0.1285
Zn 0.7500 0.8724 0.8715
Zn 0.7500 0.6276 0.3715
Ca 0.7500 0.8759 0.4463
Ca 0.2500 0.3759 0.0537
Ca 0.7500 0.9363 0.1223
Ca 0.2500 0.6958 0.2040
Ca 0.7500 0.5637 0.6223
Ca 0.2500 0.4363 0.3777
Ca 0.2500 0.0637 0.8777
Ca 0.7500 0.3042 0.7960
Ca 0.2500 0.1241 0.5537
Ca 0.2500 0.8042 0.7040
Ca 0.7500 0.1958 0.2960
Ca 0.7500 0.6241 0.9463
Cu 0.2500 0.8184 0.9661
Cu 0.2500 0.4957 0.8048
Cu 0.2500 0.0043 0.3048
Cu 0.7500 0.3184 0.5339
Cu 0.2500 0.6816 0.4661
Cu 0.7500 0.1816 0.0339
Cu 0.7500 0.9957 0.6952
Cu 0.7500 0.5043 0.1952

Record 18
This record from the Alexandria database describes an optimized crystal structure of CaZn6Cu3. The functional is PBE.

## Properties
Final energy, eV per atom: -2.3139
Total magnetic moment, μB/f.u.: 0.0

Cell: 6.5495 6.5961 7.7834 Å, 109.14 90.00 90.00°
Element x y z (fractional)
Cu 0.0000 0.5000 0.0000
Cu 0.8114 0.8303 0.5903
Cu 0.5000 0.0000 0.5000
Cu 0.1886 0.1697 0.4097
Cu 0.6886 0.3303 0.0903
Cu 0.3114 0.6697 0.9097
Zn 0.4916 0.0335 0.1733
Zn 0.6813 0.6363 0.8971
Zn 0.5084 0.9665 0.8267
Zn 0.1813 0.8637 0.6029
Zn 0.3187 0.3637 0.1029
Zn 0.2301 0.7702 0.2520
Zn 0.2699 0.2702 0.7520
Zn 0.0084 0.5335 0.6733
Zn 0.7699 0.2298 0.7480
Zn 0.8187 0.1363 0.3971
Zn 0.7301 0.7298 0.2480
Zn 0.9916 0.4665 0.3267
Ca 0.0000 0.0000 0.0000
Ca 0.5000 0.5000 0.5000

Record 19
This record from the Alexandria database describes an optimized crystal structure of Ca5Zn4Cu. The functional is PBE.

## Properties
Final energy, eV per atom: -2.1181
Total magnetic moment, μB/f.u.: 0.0

Cell: 3.6145 3.6145 18.7093 Å, 90.00 90.00 90.00°
Element x y z (fractional)
Zn 0.0000 0.0000 0.6013
Zn 0.0000 0.0000 0.8037
Zn 0.0000 0.0000 0.1963
Zn 0.0000 0.0000 0.3987
Cu 0.0000 0.0000 0.0000
Ca 0.5000 0.5000 0.7022
Ca 0.5000 0.5000 0.0955
Ca 0.5000 0.5000 0.9045
Ca 0.5000 0.5000 0.2978
Ca 0.5000 0.5000 0.5000

Record 20
This record from the Alexandria database describes an optimized crystal structure of CaZrZnCu. The functional is PBE.

## Properties
Final energy, eV per atom: -3.9970
Total magnetic moment, μB/f.u.: 0.0

Cell: 4.8534 4.8534 4.8534 Å, 60.00 60.00 60.00°
Element x y z (fractional)
Zn 0.2500 0.2500 0.2500
Ca 0.5000 0.5000 0.5000
Zr 0.0000 0.0000 0.0000
Cu 0.7500 0.7500 0.7500